Record 1
DFT (GGA-PBE) results for a geometry-optimized CaAl2Mo structure.

The value obtained for the total magnetization is 0.00 μB/f.u. The energy above the lowest structure with this stoichiometry is 0.000 eV per formula unit.

The space group is P4/mmm (No. 123) and the conventional cell measures 3.3776, 3.3776 and 6.7546 Å, with angles of 90.00, 90.00 and 90.00 degrees. The distinct sites, in fractional coordinates, are Ca at (0.0000, 0.0000, 0.0000), Al at (0.5000, 0.5000, 0.3084) and Mo at (0.0000, 0.0000, 0.5000).

---

Record 2
DFT (GGA-PBE) results for a geometry-optimized CaAl2Mo structure.

The value obtained for the total magnetization is 0.00 μB/f.u. The energy above the lowest structure with this stoichiometry is 1.089 eV per formula unit.

The space group is Pmm2 (No. 25) and the conventional cell measures 2.9282, 3.7065 and 7.3362 Å, with angles of 90.00, 90.00 and 90.00 degrees. The distinct sites, in fractional coordinates, are Ca at (0.0000, 0.0000, 0.0000), Al at (0.0000, 0.0000, 0.4785), Al at (0.5000, 0.5000, 0.6828) and Mo at (0.5000, 0.5000, 0.3101).

---

Record 3
DFT (GGA-PBE) results for a geometry-optimized CaAl2Mo structure.

The value obtained for the total magnetization is 0.00 μB/f.u. The energy above the lowest structure with this stoichiometry is 1.058 eV per formula unit.

The space group is Pm (No. 6) and the conventional cell measures 2.9455, 4.7268 and 5.4054 Å, with angles of 90.00, 95.48 and 90.00 degrees. The distinct sites, in fractional coordinates, are Ca at (0.0000, 0.0000, 0.0000), Al at (0.4516, 0.0000, 0.4895), Al at (0.4547, 0.5000, 0.7776) and Mo at (0.8430, 0.5000, 0.3420).

---

Which value of total magnetization does entry 3 give? 0.00 μB/f.u.